A geometry-optimized Pa2Fe2Ge structure, computed with GGA-PBE.

Lattice parameters (Å, degrees): 5.074 5.074 5.074 130.16 114.34 86.73
Fractional coordinates of all 5 atoms:
Pa1 0.198 0.198 0.000
Pa2 0.802 0.802 0.000
Fe1 0.254 0.500 0.754
Fe2 0.746 0.500 0.246
Ge1 0.500 0.000 0.500

Results
The calculation puts the energy of formation from the pure elements at -405 meV per atom. The calculated volume comes out at 17.36 Å³/atom. The calculation puts the density of states at the Fermi level at 1.023 states/eV per atom.



A geometry-optimized AcInO2 structure, computed with GGA-PBE.

Lattice parameters (Å, degrees): 6.798 6.798 6.798 33.22 33.22 33.22
Fractional coordinates of all 4 atoms:
Ac1 0.000 0.000 0.000
In1 0.500 0.500 0.500
O1 0.271 0.271 0.271
O2 0.729 0.729 0.729

Results
The calculated volume comes out at 20.99 Å³/atom. The calculation puts the density of states at the Fermi level at 0.000 states/eV per atom. The total energy is -25.19 eV for the cell shown.